1.
Ca2InOs after structural relaxation. Source: Alexandria via LeMat-Bulk, functional GGA-PBE.

Its space group is Cm (8). Its total energy is -17.31 eV for the cell shown. As for the energy relative to the elements: 0.165 eV/atom. The density is 6.49 g/cm3. As for the volume: 98.49 Å³/cell.

a = 6.102 Å, b = 6.102 Å, c = 5.165 Å
α = 114.40°, β = 114.40°, γ = 34.61°
Fractional coordinates of all 4 atoms:
Ca (0.000, 0.000, 0.000)
Ca (0.203, 0.203, 0.697)
In (0.784, 0.784, 0.277)
Os (0.473, 0.473, 0.477)

2.
Ca2InOs after structural relaxation. Source: Alexandria via LeMat-Bulk, functional GGA-PBE.

Its space group is P4/mmm (123). Its total energy is -16.92 eV for the cell shown. As for the energy relative to the elements: 0.262 eV/atom. The density is 6.99 g/cm3. As for the volume: 91.53 Å³/cell.

a = 4.621 Å, b = 4.621 Å, c = 4.287 Å
α = 90.00°, β = 90.00°, γ = 90.00°
Fractional coordinates of all 4 atoms:
Ca (0.000, 0.500, 0.000)
Ca (0.500, 0.000, 0.000)
In (0.000, 0.000, 0.500)
Os (0.500, 0.500, 0.500)

3.
CaInOs2 after structural relaxation. Source: Alexandria via LeMat-Bulk, functional GGA-PBE.

Its space group is C2 (5). Its total energy is -25.43 eV for the cell shown. As for the energy relative to the elements: 0.443 eV/atom. The density is 10.86 g/cm3. As for the volume: 81.89 Å³/cell.

a = 4.906 Å, b = 4.906 Å, c = 4.314 Å
α = 111.92°, β = 111.92°, γ = 101.85°
Fractional coordinates of all 4 atoms:
Ca (0.000, 0.000, 0.000)
In (0.285, 0.715, 0.500)
Os (0.561, 0.439, 0.000)
Os (0.701, 0.299, 0.500)